The following is a PBE-GGA calculation of crystalline SrMn2Te at its relaxed geometry, from Alexandria via LeMat-Bulk.

Summary:
M_tot ... 5.76 μB per formula unit
Uncorrected formation energy ... 173 meV/atom
VASP energy ... -5.618 eV/atom

Cell: 4.5075 4.5075 6.0959 Å, 111.58 111.58 60.00°
Element x y z (fractional)
Sr (0.0000, 0.0000, 0.0000)
Mn (0.1911, 0.1911, 0.5740)
Mn (0.8089, 0.8089, 0.4260)
Te (0.5000, 0.5000, 0.5000)

=====

The following is a PBE-GGA calculation of crystalline SrMn2Te at its relaxed geometry, from Alexandria via LeMat-Bulk.

Summary:
M_tot ... 8.15 μB per formula unit
Uncorrected formation energy ... 59 meV/atom
VASP energy ... -5.731 eV/atom

Cell: 4.0195 4.0195 6.5399 Å, 90.00 90.00 90.00°
Element x y z (fractional)
Sr (0.0000, 0.0000, 0.0000)
Mn (0.0000, 0.5000, 0.5591)
Mn (0.5000, 0.0000, 0.5591)
Te (0.5000, 0.5000, 0.2583)

=====

The following is a PBE-GGA calculation of crystalline Sr2MnTe4 at its relaxed geometry, from Alexandria via LeMat-Bulk.

Summary:
M_tot ... 3.44 μB per formula unit
Uncorrected formation energy ... -847 meV/atom
VASP energy ... -4.433 eV/atom

Cell: 9.0789 9.0789 9.0789 Å, 145.70 145.70 49.29°
Element x y z (fractional)
Sr (0.1358, 0.1358, 0.0000)
Sr (0.8642, 0.8642, 0.0000)
Mn (0.5000, 0.5000, 0.0000)
Te (0.0000, 0.5000, 0.5000)
Te (0.3337, 0.3337, 0.0000)
Te (0.5000, 0.0000, 0.5000)
Te (0.6663, 0.6663, 0.0000)

=====

The following is a PBE-GGA calculation of crystalline Sr2MnTe at its relaxed geometry, from Alexandria via LeMat-Bulk.

Summary:
M_tot ... 3.89 μB per formula unit
Uncorrected formation energy ... -297 meV/atom
VASP energy ... -4.215 eV/atom

Cell: 7.0905 7.0905 7.0905 Å, 145.54 138.42 55.07°
Element x y z (fractional)
Sr (0.0000, 0.0000, 0.0000)
Sr (0.7250, 0.2250, 0.5000)
Mn (0.4537, 0.4537, 0.0000)
Te (0.2937, 0.7937, 0.5000)

=====

Among the records above, which one has the lowest uncorrected formation energy? Sr2MnTe4

=====

The highest uncorrected formation energy belongs to which entry? number 1